No. 1
{"formula": "NdAgO3", "functional": "PBE", "state": "optimized geometry", "lattice_angstrom": [[-3.096, -2.419, 0.631], [2.828, -2.505, 4.273], [-5.041, 8.648, 8.405]], "species": ["Nd", "Nd", "Nd", "Nd", "Ag", "Ag", "Ag", "Ag", "O", "O", "O", "O", "O", "O", "O", "O", "O", "O", "O", "O"], "fractional_positions": [[0.741, 0.250, 0.921], [0.741, 0.750, 0.579], [0.259, 0.750, 0.079], [0.259, 0.250, 0.421], [0.924, 0.250, 0.172], [0.924, 0.750, 0.328], [0.076, 0.750, 0.828], [0.076, 0.250, 0.672], [0.816, 0.500, 0.750], [0.184, 0.000, 0.250], [0.184, 0.500, 0.250], [0.816, 0.000, 0.750], [0.257, 0.503, 0.923], [0.257, 0.497, 0.577], [0.743, 0.003, 0.077], [0.743, 0.997, 0.423], [0.257, 0.003, 0.577], [0.257, 0.997, 0.923], [0.743, 0.503, 0.423], [0.743, 0.497, 0.077]], "raw_formation_energy_mev_per_atom": -1734.2, "total_energy_ev_per_atom": -6.233}



No. 2
{"formula": "Hg6PbAu4", "functional": "PBE", "state": "optimized geometry", "lattice_angstrom": [[-4.314, 5.604, -0.521], [-4.476, -4.803, -2.682], [2.459, -1.573, 6.620]], "species": ["Hg", "Hg", "Hg", "Hg", "Hg", "Hg", "Pb", "Au", "Au", "Au", "Au"], "fractional_positions": [[0.915, 0.971, 0.408], [0.437, 0.493, 0.408], [0.121, 0.467, 0.587], [0.954, 0.415, 0.982], [0.438, 0.107, 0.545], [0.568, 0.029, 0.982], [0.008, 0.866, 0.874], [0.274, 0.263, 0.893], [0.399, 0.753, 0.152], [0.629, 0.619, 0.893], [0.757, 0.517, 0.275]], "formation_enthalpy_0k_ev_per_atom": 0.04, "total_energy_ev_per_atom": -1.654}



No. 3
{"formula": "Ba2AcCu9", "functional": "PBE", "state": "optimized geometry", "lattice_angstrom": [[5.535, 0.000, 0.000], [2.767, 4.793, 0.000], [2.767, 1.598, 8.694]], "species": ["Ba", "Ba", "Ac", "Cu", "Cu", "Cu", "Cu", "Cu", "Cu", "Cu", "Cu", "Cu"], "fractional_positions": [[0.855, 0.855, 0.435], [0.145, 0.145, 0.565], [0.000, 0.000, 0.000], [0.671, 0.671, 0.987], [0.329, 0.329, 0.013], [0.500, 0.500, 0.500], [0.435, 0.435, 0.227], [0.904, 0.435, 0.227], [0.435, 0.904, 0.227], [0.565, 0.565, 0.773], [0.565, 0.096, 0.773], [0.096, 0.565, 0.773]], "formation_enthalpy_0k_ev_per_atom": 0.03, "total_energy_ev_per_atom": -3.707}



No. 4
{"formula": "Tb2NdSmMg", "functional": "PBE", "state": "optimized geometry", "lattice_angstrom": [[4.970, 0.002, -0.001], [-2.483, 5.602, 0.311], [-0.002, -0.613, 11.197]], "species": ["Tb", "Tb", "Tb", "Tb", "Nd", "Nd", "Sm", "Sm", "Mg", "Mg"], "fractional_positions": [[0.353, 0.705, 0.548], [0.647, 0.295, 0.452], [0.154, 0.309, 0.947], [0.846, 0.691, 0.053], [0.547, 0.094, 0.152], [0.453, 0.906, 0.848], [0.247, 0.494, 0.255], [0.753, 0.506, 0.745], [0.947, 0.893, 0.360], [0.053, 0.107, 0.640]], "formation_enthalpy_0k_ev_per_atom": 0.03, "total_energy_ev_per_atom": -4.043}



No. 5
{"formula": "Re2RhSe", "functional": "PBE", "state": "optimized geometry", "lattice_angstrom": [[2.739, -0.174, 0.000], [-1.134, 2.500, 0.000], [0.000, 0.000, 9.475]], "species": ["Re", "Re", "Rh", "Se"], "fractional_positions": [[0.000, 0.000, 0.010], [0.000, 0.000, 0.490], [0.500, 0.500, 0.250], [0.500, 0.500, 0.750]], "raw_formation_energy_mev_per_atom": 720.7, "total_energy_ev_per_atom": -8.212}



No. 6
{"formula": "Mn2Rh2W", "functional": "PBE", "state": "optimized geometry", "lattice_angstrom": [[-1.678, -3.723, 5.906], [4.577, -5.173, -1.960], [2.034, 1.276, 1.382]], "species": ["Mn", "Mn", "Mn", "Mn", "Rh", "Rh", "Rh", "Rh", "W", "W"], "fractional_positions": [[0.166, 0.666, 0.500], [0.666, 0.834, 0.500], [0.834, 0.334, 0.500], [0.334, 0.166, 0.500], [0.368, 0.868, 0.000], [0.868, 0.632, 0.000], [0.632, 0.132, 0.000], [0.132, 0.368, 0.000], [0.000, 0.000, 0.000], [0.500, 0.500, 0.000]], "formation_enthalpy_0k_ev_per_atom": 0.16, "relative_energy_mev_per_atom": 32, "total_energy_ev_per_atom": -9.042}



No. 7
{"formula": "TeMoP", "functional": "PBE", "state": "optimized geometry", "lattice_angstrom": [[2.531, -3.538, -0.507], [-1.308, -3.274, -2.599], [2.030, -0.712, -3.815]], "species": ["Te", "Mo", "P"], "fractional_positions": [[0.000, 0.000, 0.000], [0.500, 0.500, 0.500], [0.250, 0.250, 0.250]], "relative_energy_mev_per_atom": 868, "raw_formation_energy_mev_per_atom": 716.0, "total_energy_ev_per_atom": -5.745}



No. 8
{"formula": "BaSn4Au6", "functional": "PBE", "state": "optimized geometry", "lattice_angstrom": [[4.745, 0.000, 0.000], [0.000, 7.005, -4.044], [0.000, 0.000, 8.089]], "species": ["Ba", "Sn", "Sn", "Sn", "Sn", "Au", "Au", "Au", "Au", "Au", "Au"], "fractional_positions": [[0.000, 0.333, 0.667], [0.500, 0.639, 0.584], [0.500, 0.945, 0.361], [0.000, 0.000, 0.000], [0.500, 0.416, 0.055], [0.500, 0.057, 0.752], [0.500, 0.248, 0.305], [0.000, 0.815, 0.577], [0.000, 0.423, 0.238], [0.000, 0.762, 0.185], [0.500, 0.695, 0.943]], "formation_enthalpy_0k_ev_per_atom": -0.31, "relative_energy_mev_per_atom": 0, "total_energy_ev_per_atom": -3.732}



No. 9
{"formula": "Hf3Ga4Pt2", "functional": "PBE", "state": "optimized geometry", "lattice_angstrom": [[-2.216, 1.199, 3.262], [1.544, -5.546, 0.483], [5.889, 4.680, 2.281]], "species": ["Hf", "Hf", "Hf", "Ga", "Ga", "Ga", "Ga", "Pt", "Pt"], "fractional_positions": [[0.391, 0.782, 0.636], [0.000, 0.000, 0.000], [0.609, 0.218, 0.364], [0.670, 0.339, 0.005], [0.088, 0.175, 0.666], [0.912, 0.825, 0.334], [0.330, 0.661, 0.995], [0.248, 0.496, 0.266], [0.752, 0.504, 0.734]], "formation_enthalpy_0k_ev_per_atom": -0.63, "total_energy_ev_per_atom": -6.633}



No. 10
{"formula": "K3Np2FeS6", "functional": "PBE", "state": "optimized geometry", "lattice_angstrom": [[6.860, -0.001, 0.000], [-3.429, 5.941, 0.000], [-1.144, -1.980, 7.332]], "species": ["K", "K", "K", "Np", "Np", "Fe", "S", "S", "S", "S", "S", "S"], "fractional_positions": [[0.166, 0.834, 0.500], [0.834, 0.166, 0.500], [0.500, 0.500, 0.500], [0.333, 0.667, 0.000], [0.667, 0.333, 0.000], [0.000, 0.000, 0.000], [0.935, 0.611, 0.805], [0.741, 0.741, 0.195], [0.065, 0.389, 0.195], [0.611, 0.935, 0.805], [0.259, 0.259, 0.805], [0.389, 0.065, 0.195]], "raw_formation_energy_mev_per_atom": -1123.7, "total_energy_ev_per_atom": -6.324}